Entry A
DFT (PBE) results for a relaxed TbNiOs crystal.

- space-group type = Imma
- calculated volume (Å³ per atom) = 16.95

a = 5.283 Å, b = 5.283 Å, c = 5.283 Å
α = 122.38°, β = 120.68°, γ = 87.38°
Fractional coordinates of all 6 atoms:
Tb  0.371  0.121  0.250
Tb  0.629  0.879  0.750
Ni  0.000  0.500  0.500
Ni  0.500  0.500  0.000
Os  0.000  0.000  0.500
Os  0.000  0.500  0.000

***

Entry B
DFT (PBE) results for a relaxed TbNiOs crystal.

- space-group type = P4_12_12
- calculated volume (Å³ per atom) = 21.16

a = 6.962 Å, b = 6.962 Å, c = 5.239 Å
α = 90.00°, β = 90.00°, γ = 90.00°
Fractional coordinates of all 12 atoms:
Tb  0.236  0.236  0.000
Tb  0.264  0.736  0.250
Tb  0.736  0.264  0.750
Tb  0.764  0.764  0.500
Ni  0.208  0.792  0.750
Ni  0.292  0.292  0.500
Ni  0.708  0.708  0.000
Ni  0.792  0.208  0.250
Os  0.048  0.048  0.500
Os  0.452  0.548  0.750
Os  0.548  0.452  0.250
Os  0.952  0.952  0.000

***

Short version: entry B is the least stable of them.

***

Entry A
DFT (PBE) results for a relaxed Tb8Ni2Os crystal.

- space-group type = C2/m
- calculated volume (Å³ per atom) = 25.11

a = 8.916 Å, b = 8.916 Å, c = 6.665 Å
α = 105.03°, β = 105.03°, γ = 32.78°
Fractional coordinates of all 11 atoms:
Tb  0.036  0.036  0.295
Tb  0.200  0.200  0.825
Tb  0.330  0.330  0.525
Tb  0.409  0.409  0.058
Tb  0.591  0.591  0.942
Tb  0.670  0.670  0.475
Tb  0.800  0.800  0.175
Tb  0.964  0.964  0.705
Ni  0.190  0.190  0.217
Ni  0.810  0.810  0.783
Os  0.500  0.500  0.500

***

Entry B
DFT (PBE) results for a relaxed Tb8Ni2Os crystal.

- space-group type = Cm
- calculated volume (Å³ per atom) = 26.43

a = 7.494 Å, b = 7.494 Å, c = 5.991 Å
α = 100.10°, β = 100.10°, γ = 114.10°
Fractional coordinates of all 11 atoms:
Tb  0.000  0.000  0.000
Tb  0.019  0.278  0.592
Tb  0.146  0.571  0.179
Tb  0.278  0.019  0.592
Tb  0.437  0.693  0.786
Tb  0.571  0.146  0.179
Tb  0.693  0.437  0.786
Tb  0.714  0.714  0.353
Ni  0.046  0.663  0.678
Ni  0.663  0.046  0.678
Os  0.358  0.358  0.020

***

Short version: entry B is the least stable of them.

***

Entry A
DFT (PBE) results for a relaxed TcNiOs2 crystal.

- space-group type = Pmmm
- calculated volume (Å³ per atom) = 13.66

a = 2.697 Å, b = 3.811 Å, c = 5.314 Å
α = 90.00°, β = 90.00°, γ = 90.00°
Fractional coordinates of all 4 atoms:
Tc  0.000  0.000  0.000
Ni  0.000  0.000  0.500
Os  0.500  0.500  0.258
Os  0.500  0.500  0.742

***

Entry B
DFT (PBE) results for a relaxed TcNiOs2 crystal.

- space-group type = R3m
- calculated volume (Å³ per atom) = 13.79

a = 8.788 Å, b = 8.788 Å, c = 8.788 Å
α = 17.76°, β = 17.76°, γ = 17.76°
Fractional coordinates of all 4 atoms:
Tc  0.000  0.000  0.000
Ni  0.251  0.251  0.251
Os  0.503  0.503  0.503
Os  0.751  0.751  0.751

***

Short version: entry B is the least stable of them.

***

Entry A
DFT (PBE) results for a relaxed TcNiOs2 crystal.

- space-group type = Cmm2
- calculated volume (Å³ per atom) = 14.09

a = 2.649 Å, b = 2.649 Å, c = 9.001 Å
α = 90.00°, β = 90.00°, γ = 116.82°
Fractional coordinates of all 4 atoms:
Tc  0.000  0.000  0.000
Ni  0.500  0.500  0.242
Os  0.000  0.000  0.485
Os  0.500  0.500  0.745

***

Entry B
DFT (PBE) results for a relaxed TcNiOs2 crystal.

- space-group type = I-42d
- calculated volume (Å³ per atom) = 19.78

a = 6.591 Å, b = 6.591 Å, c = 6.591 Å
α = 131.28°, β = 131.28°, γ = 71.36°
Fractional coordinates of all 8 atoms:
Tc  0.000  0.000  0.000
Tc  0.750  0.250  0.500
Ni  0.250  0.750  0.500
Ni  0.500  0.500  0.000
Os  0.141  0.625  0.016
Os  0.375  0.391  0.516
Os  0.609  0.125  0.984
Os  0.875  0.859  0.484

***

Short version: entry B is the least stable of them.

***

Entry A
DFT (PBE) results for a relaxed TcNiOs2 crystal.

- space-group type = Pm
- calculated volume (Å³ per atom) = 13.64

a = 2.705 Å, b = 3.813 Å, c = 5.292 Å
α = 90.00°, β = 90.08°, γ = 90.00°
Fractional coordinates of all 4 atoms:
Tc  0.000  0.000  0.000
Ni  0.500  0.500  0.241
Os  0.000  0.000  0.481
Os  0.501  0.500  0.737

***

Entry B
DFT (PBE) results for a relaxed TcNiOs2 crystal.

- space-group type = Cm
- calculated volume (Å³ per atom) = 13.72

a = 4.670 Å, b = 4.670 Å, c = 4.611 Å
α = 99.24°, β = 99.24°, γ = 33.61°
Fractional coordinates of all 4 atoms:
Tc  0.000  0.000  0.000
Ni  0.754  0.754  0.245
Os  0.252  0.252  0.741
Os  0.508  0.508  0.499

***

Entry C
DFT (PBE) results for a relaxed TcNiOs2 crystal.

- space-group type = Pmmm
- calculated volume (Å³ per atom) = 13.96

a = 2.766 Å, b = 4.474 Å, c = 4.512 Å
α = 90.00°, β = 90.00°, γ = 90.00°
Fractional coordinates of all 4 atoms:
Tc  0.000  0.000  0.000
Ni  0.500  0.000  0.500
Os  0.000  0.500  0.500
Os  0.500  0.500  0.000

***

Entry D
DFT (PBE) results for a relaxed TcNiOs2 crystal.

- space-group type = P4mm
- calculated volume (Å³ per atom) = 13.66

a = 2.710 Å, b = 2.710 Å, c = 7.440 Å
α = 90.00°, β = 90.00°, γ = 90.00°
Fractional coordinates of all 4 atoms:
Tc  0.000  0.000  0.000
Ni  0.500  0.500  0.238
Os  0.000  0.000  0.482
Os  0.500  0.500  0.733

***

Short version: entry C is the least stable of them.

***

Entry A
DFT (PBE) results for a relaxed TcNiOs2 crystal.

- space-group type = R-3m
- calculated volume (Å³ per atom) = 13.76

a = 8.837 Å, b = 8.837 Å, c = 8.837 Å
α = 17.59°, β = 17.59°, γ = 17.59°
Fractional coordinates of all 4 atoms:
Tc  0.000  0.000  0.000
Ni  0.500  0.500  0.500
Os  0.248  0.248  0.248
Os  0.752  0.752  0.752

***

Entry B
DFT (PBE) results for a relaxed TcNiOs2 crystal.

- space-group type = Fm-3m
- calculated volume (Å³ per atom) = 13.85

a = 4.279 Å, b = 4.279 Å, c = 4.279 Å
α = 60.00°, β = 60.00°, γ = 60.00°
Fractional coordinates of all 4 atoms:
Tc  0.000  0.000  0.000
Ni  0.500  0.500  0.500
Os  0.250  0.250  0.250
Os  0.750  0.750  0.750

***

Entry C
DFT (PBE) results for a relaxed TcNiOs2 crystal.

- space-group type = Cmmm
- calculated volume (Å³ per atom) = 14.05

a = 2.652 Å, b = 2.652 Å, c = 8.957 Å
α = 90.00°, β = 90.00°, γ = 116.91°
Fractional coordinates of all 4 atoms:
Tc  0.000  0.000  0.000
Ni  0.000  0.000  0.500
Os  0.500  0.500  0.257
Os  0.500  0.500  0.743

***

Short version: entry C is the least stable of them.

***

Entry A
DFT (PBE) results for a relaxed TcNiOs2 crystal.

- space-group type = F-43m
- calculated volume (Å³ per atom) = 13.90

a = 4.284 Å, b = 4.284 Å, c = 4.284 Å
α = 60.00°, β = 60.00°, γ = 60.00°
Fractional coordinates of all 4 atoms:
Tc  0.000  0.000  0.000
Ni  0.750  0.750  0.750
Os  0.250  0.250  0.250
Os  0.500  0.500  0.500

***

Entry B
DFT (PBE) results for a relaxed TcNiOs2 crystal.

- space-group type = Cmmm
- calculated volume (Å³ per atom) = 13.70

a = 4.624 Å, b = 4.624 Å, c = 2.718 Å
α = 90.00°, β = 90.00°, γ = 109.40°
Fractional coordinates of all 4 atoms:
Tc  0.000  0.000  0.000
Ni  0.500  0.500  0.000
Os  0.000  0.500  0.500
Os  0.500  0.000  0.500

***

Entry C
DFT (PBE) results for a relaxed TcNiOs2 crystal.

- space-group type = I-4m2
- calculated volume (Å³ per atom) = 13.65

a = 4.679 Å, b = 4.679 Å, c = 4.679 Å
α = 132.52°, β = 132.52°, γ = 69.41°
Fractional coordinates of all 4 atoms:
Tc  0.000  0.000  0.000
Ni  0.250  0.750  0.500
Os  0.500  0.500  0.000
Os  0.750  0.250  0.500

***

Entry D
DFT (PBE) results for a relaxed TcNiOs2 crystal.

- space-group type = C2/m
- calculated volume (Å³ per atom) = 13.72

a = 4.632 Å, b = 4.632 Å, c = 4.663 Å
α = 99.28°, β = 99.28°, γ = 33.82°
Fractional coordinates of all 4 atoms:
Tc  0.000  0.000  0.000
Ni  0.500  0.500  0.500
Os  0.253  0.253  0.744
Os  0.747  0.747  0.256

***

Short version: entry A is the least stable of them.

***

Entry A
DFT (PBE) results for a relaxed TcNiOs2 crystal.

- space-group type = I4/mmm
- calculated volume (Å³ per atom) = 13.66

a = 4.633 Å, b = 4.633 Å, c = 4.633 Å
α = 131.50°, β = 131.50°, γ = 71.02°
Fractional coordinates of all 4 atoms:
Tc  0.000  0.000  0.000
Ni  0.500  0.500  0.000
Os  0.250  0.750  0.500
Os  0.750  0.250  0.500

***

Entry B
DFT (PBE) results for a relaxed TcNiOs2 crystal.

- space-group type = P4/mmm
- calculated volume (Å³ per atom) = 13.64

a = 2.706 Å, b = 2.706 Å, c = 7.451 Å
α = 90.00°, β = 90.00°, γ = 90.00°
Fractional coordinates of all 4 atoms:
Tc  0.000  0.000  0.000
Ni  0.000  0.000  0.500
Os  0.500  0.500  0.259
Os  0.500  0.500  0.741

***

Short version: entry B is the least stable of them.

***

Entry A
DFT (PBE) results for a relaxed TcNiOs3 crystal.

- space-group type = Pm-3m
- calculated volume (Å³ per atom) = 16.39

a = 4.344 Å, b = 4.344 Å, c = 4.344 Å
α = 90.00°, β = 90.00°, γ = 90.00°
Fractional coordinates of all 5 atoms:
Tc  0.000  0.000  0.000
Ni  0.500  0.500  0.500
Os  0.000  0.500  0.500
Os  0.500  0.000  0.500
Os  0.500  0.500  0.000

***

Entry B
DFT (PBE) results for a relaxed TcNiOs3 crystal.

- space-group type = Pm-3m
- calculated volume (Å³ per atom) = 19.95

a = 4.638 Å, b = 4.638 Å, c = 4.638 Å
α = 90.00°, β = 90.00°, γ = 90.00°
Fractional coordinates of all 5 atoms:
Tc  0.000  0.000  0.000
Ni  0.500  0.500  0.500
Os  0.000  0.000  0.500
Os  0.000  0.500  0.000
Os  0.500  0.000  0.000

***

Short version: entry B is the least stable of them.

***

Entry A
DFT (PBE) results for a relaxed NiTeOs crystal.

- space-group type = F-43m
- calculated volume (Å³ per atom) = 18.18

a = 4.256 Å, b = 4.256 Å, c = 4.256 Å
α = 60.00°, β = 60.00°, γ = 60.00°
Fractional coordinates of all 3 atoms:
Ni  0.000  0.000  0.000
Te  0.500  0.500  0.500
Os  0.250  0.250  0.250

***

Entry B
DFT (PBE) results for a relaxed NiTeOs crystal.

- space-group type = Fmm2
- calculated volume (Å³ per atom) = 17.13

a = 7.109 Å, b = 6.814 Å, c = 2.959 Å
α = 83.37°, β = 72.21°, γ = 24.42°
Fractional coordinates of all 3 atoms:
Ni  0.000  0.000  0.000
Te  0.327  0.327  0.673
Os  0.644  0.644  0.356

***

Short version: entry B is the least stable of them.

***

Entry A
DFT (PBE) results for a relaxed NiTe3Os crystal.

- space-group type = Pm-3m
- calculated volume (Å³ per atom) = 22.72

a = 4.843 Å, b = 4.843 Å, c = 4.843 Å
α = 90.00°, β = 90.00°, γ = 90.00°
Fractional coordinates of all 5 atoms:
Ni  0.000  0.000  0.000
Te  0.000  0.000  0.500
Te  0.000  0.500  0.000
Te  0.500  0.000  0.000
Os  0.500  0.500  0.500

***

Entry B
DFT (PBE) results for a relaxed NiTe3Os crystal.

- space-group type = Pm-3m
- calculated volume (Å³ per atom) = 27.94

a = 5.189 Å, b = 5.189 Å, c = 5.189 Å
α = 90.00°, β = 90.00°, γ = 90.00°
Fractional coordinates of all 5 atoms:
Ni  0.000  0.000  0.000
Te  0.000  0.500  0.500
Te  0.500  0.000  0.500
Te  0.500  0.500  0.000
Os  0.500  0.500  0.500

***

Short version: entry A is the least stable of them.